SrGaF5 (GGA-PBEsol, optimized geometry); symmetry = No. 79; energy relative to the elements, uncorrected = -3.213 eV per atom; E = -0.392 Ry per atom; total moment = 0.067 μB per cell; D(E_F) = 0.00 states/eV per atom; crystal system = tetragonal
1.0
7.3533 0.0000 0.0000
3.6767 10.1756 0.0000
3.6767 0.0000 10.1756
Sr Ga F
8 8 40
Direct
0.9756 0.2727 0.8240
0.0723 0.7273 0.1760
0.2483 0.8240 0.7273
0.7996 0.1760 0.2727
0.7709 0.6844 0.8225
0.2778 0.3156 0.1775
0.4553 0.8225 0.3156
0.5934 0.1775 0.6844
0.2778 0.0000 0.0000
0.6922 0.5170 0.1464
0.3556 0.4830 0.8536
0.2091 0.1464 0.4830
0.8386 0.8536 0.5170
0.7735 0.0000 0.0000
0.0232 0.5000 0.5000
0.5232 0.5000 0.5000
0.9089 0.3883 0.1922
0.4895 0.6117 0.8078
0.2972 0.1922 0.6117
0.1012 0.8078 0.3883
0.2732 0.5000 0.5000
0.7732 0.5000 0.5000
0.5256 0.0000 0.0000
0.8052 0.6546 0.1323
0.5921 0.3454 0.8677
0.4598 0.1323 0.3454
0.9375 0.8677 0.6546
0.8005 0.4826 0.9644
0.2476 0.5174 0.0356
0.2832 0.9644 0.5174
0.7649 0.0356 0.4826
0.2404 0.3464 0.8686
0.4555 0.6536 0.1314
0.5868 0.8686 0.6536
0.1090 0.1314 0.3464
0.0257 0.0000 0.0000
0.9565 0.4539 0.6801
0.0905 0.5461 0.3199
0.4104 0.6801 0.5461
0.6366 0.3199 0.4539
0.9088 0.8360 0.9141
0.6589 0.1640 0.0859
0.7448 0.9141 0.1640
0.8229 0.0859 0.8360
0.5711 0.5743 0.3298
0.4751 0.4257 0.6702
0.1454 0.3298 0.4257
0.9008 0.6702 0.5743
0.1423 0.1631 0.0875
0.3929 0.8369 0.9125
0.3054 0.0875 0.8369
0.2298 0.9125 0.1631
0.1391 0.6119 0.8075
0.5585 0.3881 0.1925
0.7510 0.8075 0.3881
0.9466 0.1925 0.6119